# LaH7Ir2

LaH7Ir2 after structural relaxation (PBE, the Alexandria database).

For the energy, the calculation gives -97.346 eV per cell.

The space group is Cmmm (No. 65) and the conventional cell measures 5.323, 9.138 and 3.711 Å, with angles of 90.00, 90.00 and 90.00 degrees. The inequivalent atoms are La at (0.000, 0.000, 0.000), H at (0.000, 0.314, 0.000), H at (0.000, 0.500, 0.500), H at (0.183, 0.145, 0.500) and Ir at (0.000, 0.313, 0.500).



# La3HIr2

La3HIr2 after structural relaxation (PBE, the Alexandria database).

For the energy, the calculation gives -159.169 eV per cell.

The space group is Pnma (No. 62) and the conventional cell measures 8.230, 4.135 and 16.435 Å, with angles of 90.00, 90.00 and 90.00 degrees. The inequivalent atoms are La at (0.028, 0.250, 0.101), La at (0.137, 0.750, 0.431), La at (0.169, 0.250, 0.725), H at (0.103, 0.250, 0.867), Ir at (0.102, 0.250, 0.282) and Ir at (0.250, 0.250, 0.535).



# LaHIr

LaHIr after structural relaxation (PBE, the Alexandria database).

The calculation puts the distance to the lowest polymorph of the same formula at 83 meV per atom. For the energy, the calculation gives -75.359 eV per cell.

The space group is C2/m (No. 12) and the conventional cell measures 5.913, 5.631 and 6.883 Å, with angles of 90.00, 101.01 and 90.00 degrees. The inequivalent atoms are La at (0.195, 0.000, 0.251), H at (0.168, 0.000, 0.600) and Ir at (0.142, 0.500, 0.183).



# LaHIr

LaHIr after structural relaxation (PBE, the Alexandria database).

The calculation puts the distance to the lowest polymorph of the same formula at 420 meV per atom. For the energy, the calculation gives -17.829 eV per cell.

The space group is P-6m2 (No. 187) and the conventional cell measures 3.9546, 3.9546 and 3.8368 Å, with angles of 90.00, 90.00 and 120.00 degrees. The inequivalent atoms are La at (0.0000, 0.0000, 0.0000), H at (0.3333, 0.6667, 0.5000) and Ir at (0.6667, 0.3333, 0.5000).



# LaH6Ir

LaH6Ir after structural relaxation (PBE, the Alexandria database).

For the energy, the calculation gives -114.399 eV per cell.

The space group is R-3m (No. 166, hexagonal axes) and the conventional cell measures 4.6445, 4.6445 and 11.7838 Å, with angles of 90.00, 90.00 and 120.00 degrees. The inequivalent atoms are La at (0.0000, 0.0000, 0.0000), H at (0.0163, 0.5082, 0.9100) and Ir at (0.0000, 0.0000, 0.5000).



# LaH4Ir

LaH4Ir after structural relaxation (PBE, the Alexandria database).

The calculation puts the distance to the lowest polymorph of the same formula at 165 meV per atom. For the energy, the calculation gives -116.738 eV per cell.

The space group is C2/m (No. 12) and the conventional cell measures 11.319, 3.989 and 6.717 Å, with angles of 90.00, 103.77 and 90.00 degrees. The inequivalent atoms are La at (0.188, 0.000, 0.207), H at (0.040, 0.000, 0.882), H at (0.049, 0.000, 0.420), H at (0.099, 0.500, 0.689), H at (0.239, 0.000, 0.598) and Ir at (0.113, 0.000, 0.693).